Record 1
Compound: Zr2BiP
Source: the Alexandria database
Functional: PBE-GGA
Structure: relaxed

Geometry as CIF:
```
data_Zr2BiP
_chemical_formula_sum 'Zr8 Bi4 P4'
_symmetry_space_group_name_H-M 'F m -3 m'
_symmetry_Int_Tables_number 225
_symmetry_space_group_name_Hall '-F 4 2 3'
_cell_length_a 6.963
_cell_length_b 6.963
_cell_length_c 6.963
_cell_angle_alpha 90.00
_cell_angle_beta 90.00
_cell_angle_gamma 90.00
loop_
_atom_site_label
_atom_site_fract_x
_atom_site_fract_y
_atom_site_fract_z
_atom_site_occupancy
Zr1 0.250 0.250 0.250 1
Bi1 0.000 0.000 0.000 1
P1 0.000 0.000 0.500 1
```

---

Record 2
Compound: ZrBiP
Source: the Alexandria database
Functional: PBE-GGA
Structure: relaxed

Results
Polymorph energy (0 for the lowest one) ... 0.034 eV per atom

Geometry as CIF:
```
data_ZrBiP
_chemical_formula_sum 'Zr2 Bi2 P2'
_symmetry_space_group_name_H-M 'P 1'
_symmetry_Int_Tables_number 1
_cell_length_a 3.454
_cell_length_b 3.478
_cell_length_c 12.647
_cell_angle_alpha 82.17
_cell_angle_beta 82.55
_cell_angle_gamma 90.00
loop_
_symmetry_equiv_pos_as_xyz
'x,y,z'
loop_
_atom_site_label
_atom_site_fract_x
_atom_site_fract_y
_atom_site_fract_z
_atom_site_occupancy
Zr1 0.000 0.000 0.000 1
Zr2 0.119 0.625 0.750 1
Bi1 0.415 0.405 0.186 1
Bi2 0.763 0.271 0.460 1
P1 0.541 0.543 0.913 1
P2 0.655 0.163 0.674 1
```

---

Record 3
Compound: Zr2BiP2
Source: the Alexandria database
Functional: PBE-GGA
Structure: relaxed

Results
Polymorph energy (0 for the lowest one) ... 0.000 eV per atom

Geometry as CIF:
```
data_Zr2BiP2
_chemical_formula_sum 'Zr4 Bi2 P4'
_symmetry_space_group_name_H-M 'I 4/m m m'
_symmetry_Int_Tables_number 139
_symmetry_space_group_name_Hall '-I 4 2'
_cell_length_a 4.960
_cell_length_b 4.960
_cell_length_c 8.464
_cell_angle_alpha 90.00
_cell_angle_beta 90.00
_cell_angle_gamma 90.00
loop_
_atom_site_label
_atom_site_fract_x
_atom_site_fract_y
_atom_site_fract_z
_atom_site_occupancy
Zr1 0.000 0.500 0.250 1
Bi1 0.000 0.000 0.000 1
P1 0.000 0.000 0.367 1
```

---

Record 4
Compound: Zr2BiP2
Source: the Alexandria database
Functional: PBE-GGA
Structure: relaxed

Results
Polymorph energy (0 for the lowest one) ... 0.142 eV per atom

Geometry as CIF:
```
data_Zr2BiP2
_chemical_formula_sum 'Zr4 Bi2 P4'
_symmetry_space_group_name_H-M 'P 4/m b m'
_symmetry_Int_Tables_number 127
_symmetry_space_group_name_Hall '-P 4 2ab'
_cell_length_a 7.619
_cell_length_b 7.619
_cell_length_c 3.417
_cell_angle_alpha 90.00
_cell_angle_beta 90.00
_cell_angle_gamma 90.00
loop_
_atom_site_label
_atom_site_fract_x
_atom_site_fract_y
_atom_site_fract_z
_atom_site_occupancy
Zr1 0.153 0.347 0.000 1
Bi1 0.000 0.000 0.500 1
P1 0.132 0.632 0.500 1
```

---

Record 5
Compound: Zr2BiP
Source: the Alexandria database
Functional: PBE-GGA
Structure: relaxed

Geometry as CIF:
```
data_Zr2BiP
_chemical_formula_sum 'Zr6 Bi3 P3'
_symmetry_space_group_name_H-M 'R -3 m'
_symmetry_Int_Tables_number 166
_symmetry_space_group_name_Hall '-R 3 2"'
_cell_length_a 3.8790
_cell_length_b 3.8790
_cell_length_c 20.6834
_cell_angle_alpha 90.00
_cell_angle_beta 90.00
_cell_angle_gamma 120.00
loop_
_atom_site_label
_atom_site_fract_x
_atom_site_fract_y
_atom_site_fract_z
_atom_site_occupancy
Zr1 0.0000 0.0000 0.2304 1
Bi1 0.0000 0.0000 0.0000 1
P1 0.0000 0.0000 0.5000 1
```

---

Record 6
Compound: Zr6Bi3P
Source: the Alexandria database
Functional: PBE-GGA
Structure: relaxed

Geometry as CIF:
```
data_Zr6Bi3P
_chemical_formula_sum 'Zr12 Bi6 P2'
_symmetry_space_group_name_H-M 'P 1 21/c 1'
_symmetry_Int_Tables_number 14
_cell_length_a 6.630
_cell_length_b 7.587
_cell_length_c 11.699
_cell_angle_alpha 90.00
_cell_angle_beta 123.98
_cell_angle_gamma 90.00
loop_
_symmetry_equiv_pos_as_xyz
'x,y,z'
'-x,-y,-z'
'-x,y+1/2,-z+1/2'
'x,-y+1/2,z+1/2'
loop_
_atom_site_label
_atom_site_fract_x
_atom_site_fract_y
_atom_site_fract_z
_atom_site_occupancy
Zr1 0.063 0.192 0.438 1
Zr2 0.298 0.645 0.445 1
Zr3 0.404 0.024 0.229 1
Bi1 0.165 0.140 0.737 1
Bi2 0.500 0.000 0.500 1
P1 0.000 0.000 0.000 1
```

---

Record 7
Compound: Zr3BiP
Source: the Alexandria database
Functional: PBE-GGA
Structure: relaxed

Geometry as CIF:
```
data_Zr3BiP
_chemical_formula_sum 'Zr12 Bi4 P4'
_symmetry_space_group_name_H-M 'C m m m'
_symmetry_Int_Tables_number 65
_symmetry_space_group_name_Hall '-C 2 2'
_cell_length_a 9.546
_cell_length_b 12.324
_cell_length_c 3.984
_cell_angle_alpha 90.00
_cell_angle_beta 90.00
_cell_angle_gamma 90.00
loop_
_atom_site_label
_atom_site_fract_x
_atom_site_fract_y
_atom_site_fract_z
_atom_site_occupancy
Zr1 0.000 0.194 0.000 1
Zr2 0.193 0.370 0.500 1
Bi1 0.000 0.000 0.500 1
Bi2 0.000 0.500 0.000 1
P1 0.250 0.250 0.000 1
```

---

Record 8
Compound: ZrBiP
Source: the Alexandria database
Functional: PBE-GGA
Structure: relaxed

Results
Polymorph energy (0 for the lowest one) ... 0.000 eV per atom

Geometry as CIF:
```
data_ZrBiP
_chemical_formula_sum 'Zr2 Bi2 P2'
_symmetry_space_group_name_H-M 'P 1 21/m 1'
_symmetry_Int_Tables_number 11
_cell_length_a 3.592
_cell_length_b 3.649
_cell_length_c 11.272
_cell_angle_alpha 90.00
_cell_angle_beta 94.03
_cell_angle_gamma 90.00
loop_
_symmetry_equiv_pos_as_xyz
'x,y,z'
'-x,-y,-z'
'-x,y+1/2,-z'
'x,-y+1/2,z'
loop_
_atom_site_label
_atom_site_fract_x
_atom_site_fract_y
_atom_site_fract_z
_atom_site_occupancy
Zr1 0.228 0.250 0.399 1
Bi1 0.101 0.750 0.883 1
P1 0.280 0.250 0.640 1
```

---

no.,E_form (eV/atom)
1,-0.3928
2,-0.6709
3,-0.7812
4,-0.6390
5,-0.8823
6,-0.3983
7,-0.6412
8,-0.7046